DFT (PBE) results for a relaxed Pm4Nd2Ho crystal.

Unit cell a=3.8162 b=12.8959 c=19.9022 alpha=90.00 beta=90.00 gamma=90.00
Atoms (fractional coordinates):
Pm 0.0004 0.7364 0.5659
Pm 0.5004 0.7636 0.4341
Pm 0.9996 0.2364 0.9341
Pm 0.4996 0.2636 0.0659
Pm 0.9996 0.2636 0.4341
Pm 0.4996 0.2364 0.5659
Pm 0.0004 0.7636 0.0659
Pm 0.5004 0.7364 0.9341
Pm 0.0007 0.1088 0.6775
Pm 0.5007 0.3912 0.3225
Pm 0.9993 0.6088 0.8225
Pm 0.4993 0.8912 0.1775
Pm 0.9993 0.8912 0.3225
Pm 0.4993 0.6088 0.6775
Pm 0.0007 0.3912 0.1775
Pm 0.5007 0.1088 0.8225
Nd 0.0009 0.8932 0.8310
Nd 0.5009 0.6068 0.1690
Nd 0.9991 0.3932 0.6690
Nd 0.4991 0.1068 0.3310
Nd 0.9991 0.1068 0.1690
Nd 0.4991 0.3932 0.8310
Nd 0.0009 0.6068 0.3310
Nd 0.5009 0.8932 0.6690
Ho 0.0000 0.0000 0.5000
Ho 0.5000 0.5000 0.5000
Ho 0.0000 0.5000 0.0000
Ho 0.5000 0.0000 0.0000

Its crystal system is orthorhombic. The energy above the most stable polymorph in this dataset is 147 meV/atom. Its symmetry is Cmce (64). As for the formation energy: 15.3 kJ per mole of atoms. For the mass density, the calculation gives 7.0 Mg/m³. The calculation puts the calculated volume at 34.98 Å³/atom.

DFT (PBE) results for a relaxed LiPm4Nd5 crystal.

Unit cell a=3.6729 b=3.6729 c=24.8478 alpha=90.00 beta=90.00 gamma=90.00
Atoms (fractional coordinates):
Li 0.0000 0.0000 0.0000
Pm 0.0000 0.0000 0.1862
Pm 0.0000 0.0000 0.3954
Pm 0.0000 0.0000 0.6046
Pm 0.0000 0.0000 0.8138
Nd 0.5000 0.5000 0.0844
Nd 0.5000 0.5000 0.2908
Nd 0.5000 0.5000 0.5000
Nd 0.5000 0.5000 0.7092
Nd 0.5000 0.5000 0.9156

Its crystal system is tetragonal. Its symmetry is P4/mmm (123). As for the formation energy: 2.9 kJ per mole of atoms. For the mass density, the calculation gives 6.5 Mg/m³. The calculation puts the calculated volume at 33.52 Å³/atom.